(1)
# Mg4Sc3 | the Alexandria database | PBE-GGA | relaxed
# DFT formation energy = 0.129 eV per atom
# V = 174.4 Å³ per cell
# relative energy among the computed polymorphs = 16.7 kJ per mole of atoms
# D(E_F) = 7.935 states/eV per cell
data_Mg4Sc3
_chemical_formula_sum 'Mg4 Sc3'
_space_group_name_H-M_alt 'P 6/m m m'
_space_group_IT_number 191
_space_group_name_Hall '-P 6 2'
_cell_length_a 5.9580
_cell_length_b 5.9580
_cell_length_c 5.6717
_cell_angle_alpha 90.00
_cell_angle_beta 90.00
_cell_angle_gamma 120.00
loop_
_atom_site_label
_atom_site_type_symbol
_atom_site_fract_x
_atom_site_fract_y
_atom_site_fract_z
Mg1 Mg 0.0000 0.0000 0.2485
Mg2 Mg 0.3333 0.6667 0.5000
Sc1 Sc 0.0000 0.5000 0.0000

=====

(2)
# Pm2Al5Au3 | the Alexandria database | PBE-GGA | relaxed
# DFT formation energy = -0.695 eV per atom
# V = 809.5 Å³ per cell
# D(E_F) = 16.537 states/eV per cell
data_Pm2Al5Au3
_chemical_formula_sum 'Pm8 Al20 Au12'
_space_group_name_H-M_alt 'I b a m'
_space_group_IT_number 72
_space_group_name_Hall '-I 2 2c'
_cell_length_a 10.774
_cell_length_b 12.140
_cell_length_c 6.189
_cell_angle_alpha 90.00
_cell_angle_beta 90.00
_cell_angle_gamma 90.00
loop_
_atom_site_label
_atom_site_type_symbol
_atom_site_fract_x
_atom_site_fract_y
_atom_site_fract_z
Pm1 Pm 0.239 0.130 0.000
Al1 Al 0.000 0.000 0.250
Al2 Al 0.000 0.262 0.250
Al3 Al 0.146 0.388 0.000
Au1 Au 0.000 0.500 0.250
Au2 Au 0.123 0.131 0.500

=====

(3)
# HgBI3 | the Alexandria database | PBE-GGA | relaxed
# V = 142.3 Å³ per cell
# raw formation energy = 584.3 meV/atom
# relative energy among the computed polymorphs = 0.0 kJ per mole of atoms
# D(E_F) = 0.982 states/eV per cell
data_HgBI3
_chemical_formula_sum 'Hg1 B1 I3'
_space_group_name_H-M_alt 'P m -3 m'
_space_group_IT_number 221
_space_group_name_Hall '-P 4 2 3'
_cell_length_a 5.220
_cell_length_b 5.220
_cell_length_c 5.220
_cell_angle_alpha 90.00
_cell_angle_beta 90.00
_cell_angle_gamma 90.00
loop_
_atom_site_label
_atom_site_type_symbol
_atom_site_fract_x
_atom_site_fract_y
_atom_site_fract_z
Hg1 Hg 0.000 0.000 0.000
B1 B 0.500 0.500 0.500
I1 I 0.000 0.500 0.500

=====

(4)
# BaLi2Pb3 | the Alexandria database | PBE-GGA | relaxed
# DFT formation energy = -0.350 eV per atom
# V = 712.4 Å³ per cell
# relative energy among the computed polymorphs = 3.9 kJ per mole of atoms
# D(E_F) = 15.546 states/eV per cell
data_BaLi2Pb3
_chemical_formula_sum 'Ba4 Li8 Pb12'
_space_group_name_H-M_alt 'C m c m'
_space_group_IT_number 63
_space_group_name_Hall '-C 2c 2'
_cell_length_a 11.966
_cell_length_b 9.559
_cell_length_c 6.228
_cell_angle_alpha 90.00
_cell_angle_beta 90.00
_cell_angle_gamma 90.00
loop_
_atom_site_label
_atom_site_type_symbol
_atom_site_fract_x
_atom_site_fract_y
_atom_site_fract_z
Ba1 Ba 0.000 0.170 0.250
Li1 Li 0.215 0.500 0.000
Pb1 Pb 0.000 0.445 0.750
Pb2 Pb 0.194 0.226 0.750

=====

V of number 3 (HgBI3)?
142.3 Å³ per cell

=====

The lowest V belongs to which entry?
HgBI3